Record 1
A relaxed structure of Na12AlBi7. Source: Alexandria, functional PBE.

abc: 8.772 8.772 8.772
angles: 95.09 95.09 95.09
Fractional positions:
Na 0.270 0.773 0.165
Na 0.846 0.589 0.561
Na 0.227 0.835 0.730
Na 0.561 0.846 0.589
Na 0.411 0.439 0.154
Na 0.165 0.270 0.773
Na 0.835 0.730 0.227
Na 0.589 0.561 0.846
Na 0.773 0.165 0.270
Na 0.439 0.154 0.411
Na 0.730 0.227 0.835
Na 0.154 0.411 0.439
Bi 0.361 0.102 0.020
Bi 0.102 0.020 0.361
Bi 0.500 0.500 0.500
Bi 0.898 0.980 0.639
Bi 0.020 0.361 0.102
Bi 0.639 0.898 0.980
Bi 0.980 0.639 0.898
Al 0.000 0.000 0.000

Values from the calculation:
- Formation enthalpy at 0 K: -15.14 kJ per mole of atoms
- DOS(E_F): 7.35 states/eV/cell
- Space-group type: R-3 (148)

Record 2
A relaxed structure of NaAlBi2. Source: Alexandria, functional PBE.

abc: 8.473 8.473 6.852
angles: 51.81 51.81 90.00
Fractional positions:
Al 0.000 0.000 0.000
Al 0.750 0.250 0.500
Na 0.500 0.500 0.000
Na 0.250 0.750 0.500
Bi 0.375 0.327 0.750
Bi 0.077 0.625 0.250
Bi 0.673 0.125 0.250
Bi 0.875 0.923 0.750

Values from the calculation:
- Formation enthalpy at 0 K: -5.52 kJ per mole of atoms
- DOS(E_F): 0.02 states/eV/cell
- Space-group type: I-42d (122)

Record 3
A relaxed structure of NaAl2Bi2. Source: Alexandria, functional PBE.

abc: 8.172 8.172 3.935
angles: 90.00 90.00 90.00
Fractional positions:
Bi 0.170 0.670 0.500
Bi 0.830 0.330 0.500
Bi 0.670 0.830 0.500
Bi 0.330 0.170 0.500
Al 0.120 0.380 0.000
Al 0.880 0.620 0.000
Al 0.380 0.880 0.000
Al 0.620 0.120 0.000
Na 0.000 0.000 0.000
Na 0.500 0.500 0.000

Values from the calculation:
- Formation enthalpy at 0 K: 6.54 kJ per mole of atoms
- DOS(E_F): 2.78 states/eV/cell
- Space-group type: P4/mbm (127)
- E above lowest polymorph: 0.30 eV per formula unit

Record 4
A relaxed structure of Na5AlBi4. Source: Alexandria, functional PBE.

abc: 4.722 8.572 9.343
angles: 63.13 104.64 90.00
Fractional positions:
Na 0.833 0.182 0.667
Na 0.500 0.500 0.000
Na 0.846 0.647 0.692
Na 0.154 0.353 0.308
Na 0.167 0.818 0.333
Al 0.500 0.000 0.000
Bi 0.676 0.069 0.351
Bi 0.324 0.931 0.649
Bi 0.993 0.231 0.987
Bi 0.007 0.769 0.013

Values from the calculation:
- Formation enthalpy at 0 K: -12.53 kJ per mole of atoms
- DOS(E_F): 2.23 states/eV/cell
- Space-group type: C2/m (12)

Record 5
A relaxed structure of Na5Al2Bi5. Source: Alexandria, functional PBE.

abc: 5.199 6.740 11.806
angles: 104.23 90.00 112.68
Fractional positions:
Na 0.353 0.705 0.975
Na 0.278 0.556 0.630
Na 0.500 0.000 0.500
Na 0.647 0.295 0.025
Na 0.722 0.444 0.370
Bi 0.262 0.523 0.204
Bi 0.077 0.154 0.395
Bi 0.738 0.477 0.796
Bi 0.923 0.846 0.605
Bi 0.000 0.000 0.000
Al 0.897 0.794 0.199
Al 0.103 0.206 0.801

Values from the calculation:
- Formation enthalpy at 0 K: -11.67 kJ per mole of atoms
- DOS(E_F): 4.39 states/eV/cell
- Space-group type: C2/m (12)

Record 6
A relaxed structure of Na5Al2Bi4. Source: Alexandria, functional PBE.

abc: 3.619 9.968 10.862
angles: 117.31 99.59 90.00
Fractional positions:
Bi 0.000 0.278 0.000
Bi 0.283 0.283 0.566
Bi 0.000 0.722 0.000
Bi 0.717 0.717 0.434
Na 0.834 0.074 0.667
Na 0.500 0.000 0.000
Na 0.834 0.593 0.667
Na 0.166 0.407 0.333
Na 0.166 0.926 0.333
Al 0.432 0.432 0.863
Al 0.568 0.568 0.137

Values from the calculation:
- Formation enthalpy at 0 K: -14.43 kJ per mole of atoms
- DOS(E_F): 1.49 states/eV/cell
- Space-group type: Immm (71)

Record 7
A relaxed structure of NaAl2Bi. Source: Alexandria, functional PBE.

abc: 8.705 8.705 6.797
angles: 50.18 50.18 90.00
Fractional positions:
Bi 0.000 0.000 0.000
Bi 0.750 0.250 0.500
Al 0.080 0.625 0.250
Al 0.375 0.330 0.750
Al 0.670 0.125 0.250
Al 0.875 0.920 0.750
Na 0.500 0.500 0.000
Na 0.250 0.750 0.500

Values from the calculation:
- Formation enthalpy at 0 K: 21.51 kJ per mole of atoms
- DOS(E_F): 3.50 states/eV/cell
- Space-group type: I-42d (122)

Record 8
A relaxed structure of Na5Al3Bi12. Source: Alexandria, functional PBE.

abc: 15.799 15.799 15.799
angles: 109.47 109.47 109.47
Fractional positions:
Na 0.500 0.000 0.500
Na 0.000 0.000 0.000
Na 0.500 0.500 0.500
Na 0.875 0.625 0.750
Na 0.625 0.875 0.250
Na 0.875 0.250 0.625
Na 0.625 0.750 0.875
Na 0.250 0.375 0.625
Na 0.250 0.875 0.125
Na 0.000 0.500 0.500
Na 0.000 0.000 0.500
Na 0.500 0.500 0.000
Na 0.125 0.750 0.375
Na 0.125 0.375 0.250
Na 0.750 0.125 0.875
Na 0.375 0.250 0.125
Na 0.000 0.500 0.000
Na 0.750 0.625 0.375
Na 0.375 0.125 0.750
Na 0.500 0.000 0.000
Bi 0.857 0.601 0.943
Bi 0.914 0.357 0.256
Bi 0.658 0.244 0.601
Bi 0.756 0.342 0.899
Bi 0.557 0.914 0.658
Bi 0.086 0.443 0.842
Bi 0.601 0.744 0.658
Bi 0.399 0.256 0.342
Bi 0.342 0.756 0.399
Bi 0.943 0.842 0.586
Bi 0.256 0.399 0.842
Bi 0.414 0.756 0.857
Bi 0.399 0.143 0.557
Bi 0.357 0.443 0.101
Bi 0.943 0.101 0.857
Bi 0.899 0.842 0.756
Bi 0.414 0.658 0.057
Bi 0.857 0.256 0.414
Bi 0.143 0.399 0.057
Bi 0.658 0.414 0.557
Bi 0.643 0.086 0.244
Bi 0.158 0.057 0.914
Bi 0.744 0.143 0.086
Bi 0.643 0.557 0.899
Bi 0.443 0.357 0.601
Bi 0.101 0.158 0.244
Bi 0.357 0.914 0.756
Bi 0.842 0.943 0.086
Bi 0.586 0.244 0.143
Bi 0.914 0.557 0.158
Bi 0.342 0.586 0.443
Bi 0.057 0.899 0.143
Bi 0.158 0.101 0.744
Bi 0.143 0.744 0.586
Bi 0.101 0.943 0.357
Bi 0.244 0.586 0.643
Bi 0.557 0.643 0.399
Bi 0.744 0.601 0.158
Bi 0.601 0.857 0.443
Bi 0.443 0.086 0.342
Bi 0.756 0.414 0.357
Bi 0.586 0.342 0.943
Bi 0.842 0.899 0.256
Bi 0.256 0.857 0.914
Bi 0.057 0.158 0.414
Bi 0.899 0.057 0.643
Bi 0.244 0.658 0.101
Bi 0.086 0.643 0.744
Al 0.625 0.375 0.750
Al 0.750 0.875 0.625
Al 0.750 0.375 0.125
Al 0.875 0.750 0.125
Al 0.625 0.250 0.375
Al 0.125 0.250 0.875
Al 0.875 0.125 0.250
Al 0.375 0.750 0.625
Al 0.250 0.625 0.875
Al 0.375 0.625 0.250
Al 0.125 0.875 0.750
Al 0.250 0.125 0.375

Values from the calculation:
- Formation enthalpy at 0 K: 11.83 kJ per mole of atoms
- DOS(E_F): 39.86 states/eV/cell
- Space-group type: Ia-3d (230)

Record 9
A relaxed structure of NaAl2Bi2. Source: Alexandria, functional PBE.

abc: 8.348 8.348 3.928
angles: 90.00 90.00 90.00
Fractional positions:
Al 0.372 0.128 0.500
Al 0.128 0.628 0.500
Al 0.628 0.872 0.500
Al 0.872 0.372 0.500
Bi 0.656 0.156 0.000
Bi 0.156 0.344 0.000
Bi 0.344 0.844 0.000
Bi 0.844 0.656 0.000
Na 0.500 0.500 0.000
Na 0.000 0.000 0.000

Values from the calculation:
- Formation enthalpy at 0 K: 11.34 kJ per mole of atoms
- DOS(E_F): 2.48 states/eV/cell
- Space-group type: P4/mbm (127)
- E above lowest polymorph: 0.55 eV per formula unit

Record 10
A relaxed structure of Na4AlBi3. Source: Alexandria, functional PBE.

abc: 6.141 9.346 9.346
angles: 83.80 70.82 70.82
Fractional positions:
Na 0.278 0.138 0.305
Na 0.778 0.305 0.138
Na 0.722 0.862 0.695
Na 0.222 0.695 0.862
Na 0.583 0.695 0.138
Na 0.417 0.305 0.862
Na 0.917 0.862 0.305
Na 0.083 0.138 0.695
Al 0.750 0.500 0.500
Al 0.250 0.500 0.500
Bi 0.750 0.000 0.000
Bi 0.639 0.222 0.500
Bi 0.861 0.500 0.778
Bi 0.361 0.778 0.500
Bi 0.250 0.000 0.000
Bi 0.139 0.500 0.222

Values from the calculation:
- Formation enthalpy at 0 K: -22.48 kJ per mole of atoms
- DOS(E_F): 7.83 states/eV/cell
- Space-group type: I4/mcm (140)

Record 11
A relaxed structure of NaAl2Bi2. Source: Alexandria, functional PBE.

abc: 4.465 4.465 8.155
angles: 74.11 74.11 90.00
Fractional positions:
Na 0.000 0.000 0.000
Al 0.250 0.750 0.500
Al 0.750 0.250 0.500
Bi 0.625 0.625 0.749
Bi 0.375 0.375 0.251

Values from the calculation:
- Formation enthalpy at 0 K: 0.75 kJ per mole of atoms
- DOS(E_F): 2.61 states/eV/cell
- Space-group type: I4/mmm (139)
- E above lowest polymorph: 0.00 eV per formula unit

Record 12
A relaxed structure of Na3AlBi. Source: Alexandria, functional PBE.

abc: 5.938 5.938 5.938
angles: 90.00 90.00 90.00
Fractional positions:
Na 0.500 0.000 0.000
Na 0.000 0.000 0.500
Na 0.000 0.500 0.000
Al 0.500 0.500 0.500
Bi 0.000 0.000 0.000

Values from the calculation:
- Formation enthalpy at 0 K: 28.52 kJ per mole of atoms
- DOS(E_F): 5.37 states/eV/cell
- Space-group type: Pm-3m (221)
- E above lowest polymorph: 0.00 eV per formula unit

Record 13
A relaxed structure of Na2AlNiBi. Source: Alexandria, functional PBE.

abc: 5.999 5.428 5.999
angles: 90.00 90.00 90.00
Each line ends with the local moment (μB).
Fractional positions:
Na 0.500 0.000 0.000  0.00
Na 0.000 0.000 0.500  0.00
Ni 0.500 0.500 0.500  1.05
Bi 0.000 0.000 0.000  0.01
Al 0.000 0.500 0.000  -0.01

Values from the calculation:
- Formation enthalpy at 0 K: 77.61 kJ per mole of atoms
- DOS(E_F): 16.92 states/eV/cell
- Space-group type: P4/mmm (123)

Record 14
A relaxed structure of Na2AlBiO. Source: Alexandria, functional PBE.

abc: 6.024 5.407 6.024
angles: 90.00 90.00 90.00
Each line ends with the local moment (μB).
Fractional positions:
Na 0.500 0.000 0.000  0.00
Na 0.000 0.000 0.500  0.00
O 0.500 0.500 0.500  -0.10
Bi 0.000 0.000 0.000  -0.02
Al 0.000 0.500 0.000  0.01

Values from the calculation:
- Formation energy without anion corrections: 444 meV/atom
- DOS(E_F): 13.99 states/eV/cell
- Space-group type: P4/mmm (123)

Record 15
A relaxed structure of NaAlBiRh2. Source: Alexandria, functional PBE.

abc: 5.038 5.384 5.038
angles: 90.00 90.00 90.00
Each line ends with the local moment (μB).
Fractional positions:
Rh 0.000 0.000 0.500  0.32
Rh 0.500 0.000 0.000  0.35
Al 0.500 0.500 0.500  0.03
Na 0.000 0.500 0.000  0.01
Bi 0.000 0.000 0.000  0.02

Values from the calculation:
- Formation enthalpy at 0 K: 92.66 kJ per mole of atoms
- DOS(E_F): 6.74 states/eV/cell
- Space-group type: P4/mmm (123)

Record 16
A relaxed structure of Na2ScAlBi. Source: Alexandria, functional PBE.

abc: 5.688 5.622 5.688
angles: 90.00 90.00 90.00
Fractional positions:
Bi 0.000 0.000 0.000
Na 0.000 0.000 0.500
Na 0.500 0.000 0.000
Al 0.500 0.500 0.500
Sc 0.000 0.500 0.000

Values from the calculation:
- Formation enthalpy at 0 K: 35.60 kJ per mole of atoms
- DOS(E_F): 6.03 states/eV/cell
- Space-group type: P4/mmm (123)

Record 17
A relaxed structure of NaScAlBi2. Source: Alexandria, functional PBE.

abc: 5.570 5.913 5.570
angles: 90.00 90.00 90.00
Fractional positions:
Bi 0.000 0.000 0.500
Bi 0.500 0.000 0.000
Sc 0.000 0.000 0.000
Al 0.500 0.500 0.500
Na 0.000 0.500 0.000

Values from the calculation:
- Formation enthalpy at 0 K: 40.56 kJ per mole of atoms
- DOS(E_F): 3.49 states/eV/cell
- Space-group type: P4/mmm (123)

Record 18
A relaxed structure of Na4AlBi3Se8. Source: Alexandria, functional PBE.

abc: 8.272 8.564 8.272
angles: 118.88 120.00 90.00
Fractional positions:
Se 0.748 0.743 0.496
Se 0.227 0.279 0.002
Se 0.225 0.721 0.998
Se 0.252 0.257 0.504
Se 0.226 0.722 0.451
Se 0.775 0.279 0.002
Se 0.773 0.721 0.998
Se 0.774 0.278 0.549
Na 0.500 0.000 0.000
Na 0.500 0.000 0.500
Na 0.000 0.000 0.000
Na 0.000 0.000 0.500
Al 0.000 0.500 0.000
Bi 0.500 0.500 0.000
Bi 0.000 0.500 0.500
Bi 0.500 0.500 0.500

Values from the calculation:
- Formation energy without anion corrections: -786 meV/atom
- Space-group type: C2/m (12)

Record 19
A relaxed structure of Na3AlBi2Se6. Source: Alexandria, functional PBE.

abc: 7.121 7.121 7.444
angles: 99.29 99.29 120.13
Fractional positions:
Se 0.925 0.626 0.776
Se 0.626 0.925 0.776
Se 0.779 0.779 0.221
Se 0.221 0.221 0.779
Se 0.374 0.075 0.224
Se 0.075 0.374 0.224
Al 0.000 0.000 0.000
Bi 0.665 0.335 0.000
Bi 0.335 0.665 0.000
Na 0.175 0.825 0.500
Na 0.500 0.500 0.500
Na 0.825 0.175 0.500

Values from the calculation:
- Formation energy without anion corrections: -807 meV/atom
- Space-group type: C2/m (12)

Record 20
A relaxed structure of NaAlSnBi. Source: Alexandria, functional PBE.

abc: 5.241 5.241 5.241
angles: 60.00 60.00 60.00
Fractional positions:
Al 0.250 0.250 0.250
Bi 0.000 0.000 0.000
Na 0.750 0.750 0.750
Sn 0.500 0.500 0.500

Values from the calculation:
- Formation enthalpy at 0 K: 4.46 kJ per mole of atoms
- DOS(E_F): 1.77 states/eV/cell
- Space-group type: F-43m (216)